Entry from the Open Quantum Materials Database: a geometry-optimized TaCoO3 structure (PBE+U).

The magnetic moment is 2.41 μB per formula unit. The total DFT energy (no corrections) comes out at -8.015 eV per atom.

The structure belongs to space group Pm-3m (No. 221); the cell edges are 3.951, 3.951 and 3.951 Å and the angles 90.00°, 90.00° and 90.00°. The inequivalent atoms are Ta at (0.000, 0.000, 0.000), Co at (0.500, 0.500, 0.500) and O at (0.000, 0.000, 0.500).